The following is a DFT calculation (PBE) of a relaxed LaMo3Os crystal.

It has space group Pm-3m (No. 221), with a = 4.851 Å, b = 4.851 Å, c = 4.851 Å, α = 90.00°, β = 90.00° and γ = 90.00°. The inequivalent atoms are La at (0.000, 0.000, 0.000), Mo at (0.000, 0.500, 0.500) and Os at (0.500, 0.500, 0.500).

For the density of states at the Fermi level, the calculation gives 3.881 states/eV/cell. As for the formation enthalpy at 0 K: 1.018 eV/atom. The energy above the most stable polymorph in this dataset comes out at 0.0 meV per atom. The calculation puts the total energy at -8.712 eV/atom.


The following is a DFT calculation (PBE) of a relaxed LiInOs2 crystal.

It has space group R-3m (No. 166, hexagonal axes), with a = 2.8349 Å, b = 2.8349 Å, c = 27.1023 Å, α = 90.00°, β = 90.00° and γ = 120.00°. The inequivalent atoms are Li at (0.0000, 0.0000, 0.0000), In at (0.0000, 0.0000, 0.5000) and Os at (0.0000, 0.0000, 0.2510).

For the density of states at the Fermi level, the calculation gives 7.468 states/eV/cell. As for the formation enthalpy at 0 K: 0.570 eV/atom. The calculation puts the total energy at -6.208 eV/atom.


The following is a DFT calculation (PBE) of a relaxed Pm3PrZn8 crystal.

It has space group P3m1 (No. 156), with a = 5.6874 Å, b = 5.6874 Å, c = 8.7357 Å, α = 90.00°, β = 90.00° and γ = 120.00°. The inequivalent atoms are Pm at (0.0000, 0.0000, 0.0000), Pm at (0.0000, 0.0000, 0.3935), Pm at (0.3333, 0.6667, 0.8944), Pr at (0.3333, 0.6667, 0.4982), Zn at (0.3366, 0.1683, 0.6975), Zn at (0.5029, 0.0059, 0.1948), Zn at (0.6667, 0.3333, 0.4470) and Zn at (0.6667, 0.3333, 0.9453).

For the density of states at the Fermi level, the calculation gives 7.116 states/eV/cell. As for the formation enthalpy at 0 K: -0.305 eV/atom. The energy above the most stable polymorph in this dataset comes out at 17.9 meV per atom. The calculation puts the total energy at -2.740 eV/atom.


The following is a DFT calculation (PBE) of a relaxed Mn2Cu7PdAu2 crystal.

It has space group C2/m (No. 12), with a = 4.972 Å, b = 4.970 Å, c = 14.374 Å, α = 90.00°, β = 99.64° and γ = 90.00°. The inequivalent atoms are Mn at (0.137, 0.000, 0.277), Cu at (0.000, 0.000, 0.000), Cu at (0.181, 0.250, 0.859), Cu at (0.228, 0.000, 0.458), Pd at (0.000, 0.500, 0.000) and Au at (0.178, 0.500, 0.359).

For the density of states at the Fermi level, the calculation gives 10.875 states/eV/cell. As for the formation enthalpy at 0 K: 0.135 eV/atom. The calculation puts the total energy at -4.762 eV/atom.


The following is a DFT calculation (PBE) of a relaxed Tb2Y2Al4Ga crystal.

It has space group I4/mmm (No. 139), with a = 7.001 Å, b = 7.001 Å, c = 8.962 Å, α = 90.00°, β = 90.00° and γ = 90.00°. The inequivalent atoms are Tb at (0.000, 0.000, 0.194), Y at (0.000, 0.500, 0.250), Al at (0.248, 0.248, 0.500) and Ga at (0.000, 0.000, 0.500).

For the density of states at the Fermi level, the calculation gives 14.330 states/eV/cell. As for the formation enthalpy at 0 K: -0.157 eV/atom. The calculation puts the total energy at -4.622 eV/atom.


The following is a DFT calculation (PBE) of a relaxed Ag3P2 crystal.

It has space group Fdd2 (No. 43), with a = 11.279 Å, b = 20.426 Å, c = 3.253 Å, α = 90.00°, β = 90.00° and γ = 90.00°. The inequivalent atoms are Ag at (0.000, 0.000, 0.000), Ag at (0.076, 0.116, 0.540) and P at (0.039, 0.280, 0.130).

For the density of states at the Fermi level, the calculation gives 9.993 states/eV/cell. As for the formation enthalpy at 0 K: 0.176 eV/atom. The energy above the most stable polymorph in this dataset comes out at 0.0 meV per atom. The calculation puts the total energy at -3.698 eV/atom.


The following is a DFT calculation (PBE) of a relaxed Pm7Mg4Pb crystal.

It has space group C2/m (No. 12), with a = 15.207 Å, b = 5.932 Å, c = 9.595 Å, α = 90.00°, β = 119.67° and γ = 90.00°. The inequivalent atoms are Pm at (0.000, 0.000, 0.000), Pm at (0.085, 0.500, 0.434), Pm at (0.178, 0.500, 0.878), Pm at (0.245, 0.500, 0.269), Mg at (0.033, 0.000, 0.678), Mg at (0.178, 0.000, 0.353) and Pb at (0.000, 0.500, 0.000).

For the density of states at the Fermi level, the calculation gives 27.906 states/eV/cell. As for the formation enthalpy at 0 K: 0.012 eV/atom. The calculation puts the total energy at -3.600 eV/atom.


The following is a DFT calculation (PBE) of a relaxed PuPaTiSb crystal.

It has space group F-43m (No. 216), with a = 7.046 Å, b = 7.046 Å, c = 7.046 Å, α = 90.00°, β = 90.00° and γ = 90.00°. The inequivalent atoms are Pu at (0.000, 0.000, 0.000), Pa at (0.250, 0.250, 0.750), Ti at (0.000, 0.000, 0.500) and Sb at (0.250, 0.250, 0.250).

For the density of states at the Fermi level, the calculation gives 33.853 states/eV/cell. The calculation puts the total energy at -9.113 eV/atom.


The following is a DFT calculation (PBE) of a relaxed Rb8H3F4 crystal.

It has space group C2/m (No. 12), with a = 11.832 Å, b = 11.843 Å, c = 8.364 Å, α = 90.00°, β = 134.75° and γ = 90.00°. The inequivalent atoms are Rb at (0.000, 0.242, 0.000), Rb at (0.000, 0.247, 0.500), Rb at (0.235, 0.000, 0.480), Rb at (0.241, 0.000, 0.993), H at (0.000, 0.500, 0.500), H at (0.250, 0.250, 0.500), F at (0.000, 0.000, 0.000), F at (0.000, 0.000, 0.500) and F at (0.250, 0.250, 0.000).

For the density of states at the Fermi level, the calculation gives 0.670 states/eV/cell. The calculation puts the total energy at -3.131 eV/atom.


The following is a DFT calculation (PBE) of a relaxed Be3WCl crystal.

It has space group Pm-3m (No. 221), with a = 4.002 Å, b = 4.002 Å, c = 4.002 Å, α = 90.00°, β = 90.00° and γ = 90.00°. The inequivalent atoms are Be at (0.000, 0.000, 0.500), W at (0.500, 0.500, 0.500) and Cl at (0.000, 0.000, 0.000).

For the density of states at the Fermi level, the calculation gives 4.415 states/eV/cell. The energy above the most stable polymorph in this dataset comes out at 0.0 meV per atom. The calculation puts the total energy at -3.863 eV/atom.